(1)
This record from the Alexandria database describes crystalline NaSm3Tc at its relaxed geometry. The functional is PBE.

Properties
- space group = No. 221
- magnetic moment (μB per formula unit) = 0.00
- total energy (eV per atom) = -4.98

abc: 5.5054 5.5054 5.5054
angles: 90.00 90.00 90.00
Last column: nearest neighbours and their distance in Å.
Fractional positions:
Na1 0.5000 0.5000 0.5000  12 Sm 3.89
Tc1 0.0000 0.0000 0.0000  6 Sm 2.75
Sm1 0.0000 0.5000 0.0000  2 Tc 2.75
Sm2 0.0000 0.0000 0.5000  2 Tc 2.75
Sm3 0.5000 0.0000 0.0000  2 Tc 2.75

---

(2)
This record from the Alexandria database describes crystalline NaSm2Tc at its relaxed geometry. The functional is PBE.

Properties
- space group = No. 166
- magnetic moment (μB per formula unit) = 0.00
- total energy (eV per atom) = -4.99

abc: 3.5246 3.5246 11.4779
angles: 81.17 81.17 60.00
Last column: nearest neighbours and their distance in Å.
Fractional positions:
Na1 0.0000 0.0000 0.0000  6 Na 3.52, 2 Sm 3.63
Tc1 0.5000 0.5000 0.5000  6 Sm 2.87
Sm1 0.1071 0.1071 0.6787  3 Tc 2.87
Sm2 0.8929 0.8929 0.3213  3 Tc 2.87

---

(3)
This record from the Alexandria database describes crystalline NaSm2Tc at its relaxed geometry. The functional is PBE.

Properties
- space group = No. 123
- magnetic moment (μB per formula unit) = 0.00
- total energy (eV per atom) = -5.23

abc: 3.5177 3.5177 9.2444
angles: 90.00 90.00 90.00
Last column: nearest neighbours and their distance in Å.
Fractional positions:
Na1 0.5000 0.5000 0.5000  4 Na 3.52, 8 Sm 3.87
Tc1 0.5000 0.5000 0.0000  8 Sm 2.99
Sm1 0.0000 0.0000 0.8206  4 Tc 2.99, 1 Sm 3.32
Sm2 0.0000 0.0000 0.1794  4 Tc 2.99, 1 Sm 3.32

---

(4)
This record from the Alexandria database describes crystalline NaSm6Te8 at its relaxed geometry. The functional is PBE.

Properties
- space group = No. 147
- magnetic moment (μB per formula unit) = 1.28
- total energy (eV per atom) = -4.95
- formation energy from raw total energies (eV per atom) = -1.29

abc: 4.5496 11.8423 11.8423
angles: 120.00 90.00 90.00
Last column: nearest neighbours and their distance in Å.
Fractional positions:
Na1 0.5000 0.0000 0.0000  6 Te 4.03
Sm1 0.7501 0.5150 0.6498  6 Te 3.13-3.21
Sm2 0.7501 0.3502 0.8652  6 Te 3.13-3.21
Sm3 0.7501 0.1348 0.4850  6 Te 3.13-3.21
Sm4 0.2499 0.4850 0.3502  6 Te 3.13-3.21
Sm5 0.2499 0.6498 0.1348  6 Te 3.13-3.21
Sm6 0.2499 0.8652 0.5150  6 Te 3.13-3.21
Te1 0.7495 0.6536 0.9555  4 Sm 3.13-3.20
Te2 0.7495 0.0445 0.6981  4 Sm 3.13-3.20
Te3 0.7495 0.3019 0.3464  4 Sm 3.13-3.20
Te4 0.2505 0.3464 0.0445  4 Sm 3.13-3.20
Te5 0.2505 0.9555 0.3019  4 Sm 3.13-3.20
Te6 0.2505 0.6981 0.6536  4 Sm 3.13-3.20
Te7 0.7501 0.6667 0.3333  6 Sm 3.20-3.21
Te8 0.2499 0.3333 0.6667  6 Sm 3.20-3.21

---

(5)
This record from the Alexandria database describes crystalline NaSmTe2 at its relaxed geometry. The functional is PBE.

Properties
- space group = No. 160
- magnetic moment (μB per formula unit) = 0.00
- total energy (eV per atom) = -4.33
- formation energy from raw total energies (eV per atom) = -1.25

abc: 4.3723 4.3723 8.3982
angles: 74.91 74.91 60.00
Last column: nearest neighbours and their distance in Å.
Fractional positions:
Na1 0.6679 0.6679 0.9962  6 Te 3.25-3.30
Sm1 0.4995 0.4995 0.5016  6 Te 3.17-3.18
Te1 0.0861 0.0861 0.7416  3 Sm 3.17, 3 Na 3.25
Te2 0.2465 0.2465 0.2606  3 Sm 3.18, 3 Na 3.30

---

(6)
This record from the Alexandria database describes crystalline NaSm6Te8 at its relaxed geometry. The functional is PBE.

Properties
- space group = No. 225
- magnetic moment (μB per formula unit) = 0.00
- total energy (eV per atom) = -5.03
- formation energy from raw total energies (eV per atom) = -1.38

abc: 8.8701 8.8701 8.8701
angles: 60.00 60.00 60.00
Last column: nearest neighbours and their distance in Å.
Fractional positions:
Na1 0.0000 0.0000 0.0000  6 Te 3.21
Sm1 0.0000 0.5000 0.5000  6 Te 3.14
Sm2 0.5000 0.0000 0.0000  6 Te 3.14
Sm3 0.5000 0.5000 0.0000  6 Te 3.14
Sm4 0.0000 0.0000 0.5000  6 Te 3.14
Sm5 0.0000 0.5000 0.0000  6 Te 3.14
Sm6 0.5000 0.0000 0.5000  6 Te 3.14
Te1 0.7500 0.7500 0.7500  6 Sm 3.14
Te2 0.2500 0.2500 0.2500  6 Sm 3.14
Te3 0.7444 0.2556 0.2556  4 Sm 3.14, 1 Na 3.21
Te4 0.2556 0.7444 0.7444  4 Sm 3.14, 1 Na 3.21
Te5 0.2556 0.2556 0.7444  4 Sm 3.14, 1 Na 3.21
Te6 0.7444 0.7444 0.2556  4 Sm 3.14, 1 Na 3.21
Te7 0.7444 0.2556 0.7444  4 Sm 3.14, 1 Na 3.21
Te8 0.2556 0.7444 0.2556  4 Sm 3.14, 1 Na 3.21

---

(7)
This record from the Alexandria database describes crystalline NaSmTe at its relaxed geometry. The functional is PBE.

Properties
- space group = No. 129
- magnetic moment (μB per formula unit) = 0.00
- total energy (eV per atom) = -3.92
- formation energy from raw total energies (eV per atom) = -0.86

abc: 4.3799 4.3799 9.4316
angles: 90.00 90.00 90.00
Last column: nearest neighbours and their distance in Å.
Fractional positions:
Na1 0.0000 0.0000 0.0000  4 Na 3.10
Na2 0.5000 0.5000 0.0000  4 Na 3.10
Te1 0.0000 0.5000 0.2983  5 Sm 3.14-3.17
Te2 0.5000 0.0000 0.7017  5 Sm 3.14-3.17
Sm1 0.0000 0.5000 0.6311  5 Te 3.14-3.17
Sm2 0.5000 0.0000 0.3689  5 Te 3.14-3.17

---

(8)
This record from the Alexandria database describes crystalline NaSmTe2 at its relaxed geometry. The functional is PBE.

Properties
- space group = No. 166
- magnetic moment (μB per formula unit) = 0.00
- total energy (eV per atom) = -4.41
- formation energy from raw total energies (eV per atom) = -1.33

abc: 8.0077 8.0077 8.0077
angles: 32.67 32.67 32.67
Last column: nearest neighbours and their distance in Å.
Fractional positions:
Na1 0.0000 0.0000 0.0000  6 Te 3.28
Te1 0.7545 0.7545 0.7545  3 Sm 3.16, 3 Na 3.28
Te2 0.2455 0.2455 0.2455  3 Sm 3.16, 3 Na 3.28
Sm1 0.5000 0.5000 0.5000  6 Te 3.16

---

(9)
This record from the Alexandria database describes crystalline NaSmTe4 at its relaxed geometry. The functional is PBE.

Properties
- space group = No. 125
- magnetic moment (μB per formula unit) = 0.00
- total energy (eV per atom) = -3.97
- formation energy from raw total energies (eV per atom) = -0.87

abc: 6.8597 6.8597 8.2429
angles: 90.00 90.00 90.00
Last column: nearest neighbours and their distance in Å.
Fractional positions:
Na1 0.5000 0.5000 0.5000  8 Te 3.43
Na2 0.0000 0.0000 0.5000  8 Te 3.43
Sm1 0.5000 0.5000 0.0000  8 Te 3.25
Sm2 0.0000 0.0000 0.0000  8 Te 3.25
Te1 0.6459 0.8541 0.2326  1 Te 2.83
Te2 0.1459 0.6459 0.2326  1 Te 2.83
Te3 0.8541 0.3541 0.2326  1 Te 2.83
Te4 0.6459 0.1459 0.7674  1 Te 2.83
Te5 0.3541 0.8541 0.7674  1 Te 2.83
Te6 0.3541 0.1459 0.2326  1 Te 2.83
Te7 0.8541 0.6459 0.7674  1 Te 2.83
Te8 0.1459 0.3541 0.7674  1 Te 2.83

---

(10)
This record from the Alexandria database describes crystalline NaSmTe2 at its relaxed geometry. The functional is PBE.

Properties
- space group = No. 123
- magnetic moment (μB per formula unit) = 0.00
- total energy (eV per atom) = -4.18
- formation energy from raw total energies (eV per atom) = -1.10

abc: 3.8876 3.8876 8.0633
angles: 90.00 90.00 90.00
Last column: nearest neighbours and their distance in Å.
Fractional positions:
Na1 0.5000 0.5000 0.0000  8 Te 3.51, 4 Na 3.89
Te1 0.0000 0.0000 0.7292  4 Sm 3.31, 4 Na 3.51, 1 Te 3.70
Te2 0.0000 0.0000 0.2708  4 Sm 3.31, 4 Na 3.51, 1 Te 3.70
Sm1 0.5000 0.5000 0.5000  8 Te 3.31

---

(11)
This record from the Alexandria database describes crystalline Na3Sm5Te8 at its relaxed geometry. The functional is PBE.

Properties
- space group = No. 166
- magnetic moment (μB per formula unit) = 0.00
- total energy (eV per atom) = -4.64
- formation energy from raw total energies (eV per atom) = -1.35

abc: 8.9277 8.9277 9.0253
angles: 60.36 60.36 60.00
Last column: nearest neighbours and their distance in Å.
Fractional positions:
Na1 0.5000 0.0000 0.5000  6 Te 3.18-3.21
Na2 0.0000 0.0000 0.5000  6 Te 3.18-3.21
Na3 0.0000 0.5000 0.5000  6 Te 3.18-3.21
Sm1 0.5000 0.0000 0.0000  6 Te 3.14-3.16
Sm2 0.5000 0.5000 0.0000  6 Te 3.14-3.16
Sm3 0.0000 0.0000 0.0000  6 Te 3.17
Sm4 0.0000 0.5000 0.0000  6 Te 3.14-3.16
Sm5 0.5000 0.5000 0.5000  6 Te 3.17
Te1 0.2500 0.2500 0.7514  4 Sm 3.16-3.17, 2 Na 3.18
Te2 0.2500 0.7486 0.7514  4 Sm 3.16-3.17, 2 Na 3.18
Te3 0.7486 0.2500 0.7514  4 Sm 3.16-3.17, 2 Na 3.18
Te4 0.7473 0.7473 0.7580  3 Sm 3.14, 3 Na 3.21
Te5 0.7500 0.7500 0.2486  4 Sm 3.16-3.17, 2 Na 3.18
Te6 0.7500 0.2514 0.2486  4 Sm 3.16-3.17, 2 Na 3.18
Te7 0.2514 0.7500 0.2486  4 Sm 3.16-3.17, 2 Na 3.18
Te8 0.2527 0.2527 0.2420  3 Sm 3.14, 3 Na 3.21

---

(12)
This record from the Alexandria database describes crystalline NaSmTe at its relaxed geometry. The functional is PBE.

Properties
- space group = No. 107
- magnetic moment (μB per formula unit) = 0.00
- total energy (eV per atom) = -3.71
- formation energy from raw total energies (eV per atom) = -0.65

abc: 3.8959 3.8959 7.4204
angles: 105.22 105.22 90.00
Last column: nearest neighbours and their distance in Å.
Fractional positions:
Na1 0.0152 0.0152 0.0304  4 Te 3.64, 1 Sm 3.88, 4 Na 3.90
Te1 0.6877 0.6877 0.3754  4 Sm 3.14
Sm1 0.2971 0.2971 0.5942  4 Te 3.14

---

Question: The highest magnetic moment belongs to which entry?
Answer: number 4

---

Question: Look up the total energy of the second one.
Answer: -4.99 eV per atom

---

Question: Which of these has the highest magnetic moment?
Answer: number 4

---

Question: What is the formula in the second record?
Answer: NaSm2Tc